{"formula": "Hf6NbSn3", "functional": "PBE-GGA", "state": "relaxed", "lattice_angstrom": [[7.5147, 0.0000, 0.0000], [0.0000, 7.6882, 0.6999], [0.0000, -1.0334, 7.6506]], "species": ["Nb", "Hf", "Sn", "Hf", "Sn", "Hf", "Hf", "Hf", "Hf", "Hf", "Sn", "Hf", "Hf", "Sn", "Hf", "Nb", "Sn", "Sn", "Hf", "Hf"], "fractional_positions": [[0.9344, 0.3664, 0.6336], [0.6637, 0.1878, 0.8122], [0.9020, 0.1285, 0.1492], [0.3922, 0.9948, 0.4864], [0.4020, 0.1492, 0.1285], [0.1540, 0.6933, 0.6169], [0.6540, 0.3067, 0.3831], [0.3922, 0.5136, 0.0052], [0.8922, 0.4864, 0.9948], [0.6328, 0.8436, 0.1564], [0.8582, 0.6346, 0.3654], [0.1637, 0.8122, 0.1878], [0.1328, 0.1564, 0.8436], [0.9020, 0.8508, 0.8715], [0.1540, 0.3831, 0.3067], [0.4344, 0.6336, 0.3664], [0.3582, 0.3654, 0.6346], [0.4020, 0.8715, 0.8508], [0.6540, 0.6169, 0.6933], [0.8922, 0.0052, 0.5136]], "final_energy_ev_per_cell": -167.2, "sg": "Cmc2_1, No. 36", "e_form_ev_per_atom": -0.18}

***

{"formula": "KAlTl4", "functional": "PBE-GGA", "state": "relaxed", "lattice_angstrom": [[0.0000, 4.6088, 4.6088], [4.6088, 0.0000, 4.6088], [4.6088, 4.6088, 0.0000]], "species": ["K", "Tl", "Al", "Tl", "Tl", "Tl"], "fractional_positions": [[0.0000, 0.0000, 0.0000], [0.3756, 0.3756, 0.3756], [0.7500, 0.7500, 0.7500], [0.3756, 0.8732, 0.3756], [0.8732, 0.3756, 0.3756], [0.3756, 0.3756, 0.8732]], "final_energy_ev_per_cell": -13.3, "sg": "F-43m, No. 216", "e_form_ev_per_atom": 0.17}

***

{"formula": "Nd3HoSc3", "functional": "PBE-GGA", "state": "relaxed", "lattice_angstrom": [[2.4234, -2.6813, 7.7981], [7.8449, -3.2259, 1.3869], [5.8600, 4.2968, 4.5903]], "species": ["Sc", "Sc", "Sc", "Nd", "Sc", "Nd", "Sc", "Sc", "Ho", "Nd", "Ho", "Nd", "Nd", "Nd"], "fractional_positions": [[0.9390, 0.7242, 0.1698], [0.8302, 0.0610, 0.2758], [0.0610, 0.2758, 0.8302], [0.9269, 0.2860, 0.4352], [0.2758, 0.8302, 0.0610], [0.4352, 0.9269, 0.2860], [0.7242, 0.1698, 0.9390], [0.1698, 0.9390, 0.7242], [0.3441, 0.3441, 0.3441], [0.0731, 0.7140, 0.5648], [0.6559, 0.6559, 0.6559], [0.2860, 0.4352, 0.9269], [0.5648, 0.0731, 0.7140], [0.7140, 0.5648, 0.0731]], "final_energy_ev_per_cell": -73.2, "polymorph_energy_ev_per_atom": 0.019, "sg": "R-3, No. 148", "e_form_ev_per_atom": 0.18}